1.
## MgBeAl2 (PBE)

Data for a relaxed MgBeAl2 crystal.

## Properties
energy above the lowest structure with this stoichiometry	0.0	meV/atom
volume	130.40	Å³ per cell
theoretical density	2.223	g/cm3
ΔE_f	74	meV/atom
density of states at the Fermi level	0.95	states/eV/f.u.

abc: 4.6086 5.0820 5.8453
angles: 85.49 78.02 76.98
Space group P-1 (No. 2)
One atom of each set of equivalent atoms:
Mg: 0.0921 0.3948 0.2516 [2 per cell]
Be: 0.0569 0.0832 0.6469 [2 per cell]
Al: 0.2932 0.8608 0.9664 [2 per cell]
Al: 0.4642 0.7607 0.4081 [2 per cell]



2.
## Mg2BeAl (PBE)

Data for a relaxed Mg2BeAl crystal.

## Properties
energy above the lowest structure with this stoichiometry	163.3	meV/atom
volume	137.56	Å³ per cell
theoretical density	2.043	g/cm3
ΔE_f	236	meV/atom
density of states at the Fermi level	1.20	states/eV/f.u.

abc: 4.0960 4.0960 8.1990
angles: 90.00 90.00 90.00
Space group I4/mmm (No. 139)
One atom of each set of equivalent atoms:
Mg: 0.0000 0.5000 0.2500 [4 per cell]
Be: 0.0000 0.0000 0.0000 [2 per cell]
Al: 0.0000 0.0000 0.5000 [2 per cell]



3.
## Mg2BeAl (PBE)

Data for a relaxed Mg2BeAl crystal.

## Properties
energy above the lowest structure with this stoichiometry	126.7	meV/atom
volume	68.57	Å³ per cell
theoretical density	2.049	g/cm3
ΔE_f	199	meV/atom
density of states at the Fermi level	1.98	states/eV/f.u.

abc: 2.9974 2.9974 7.6313
angles: 90.00 90.00 90.00
Space group P4/mmm (No. 123)
One atom of each set of equivalent atoms:
Mg: 0.0000 0.0000 0.2163 [2 per cell]
Be: 0.5000 0.5000 0.0000 [1 per cell]
Al: 0.5000 0.5000 0.5000 [1 per cell]



4.
## MgBeAl2 (PBE)

Data for a relaxed MgBeAl2 crystal.

## Properties
energy above the lowest structure with this stoichiometry	30.8	meV/atom
volume	131.31	Å³ per cell
theoretical density	2.208	g/cm3
ΔE_f	105	meV/atom
density of states at the Fermi level	1.21	states/eV/f.u.

abc: 4.1270 4.5261 7.3671
angles: 97.26 105.69 90.31
Space group P-1 (No. 2)
One atom of each set of equivalent atoms:
Mg: 0.0781 0.2974 0.1627 [2 per cell]
Be: 0.2732 0.3981 0.5449 [2 per cell]
Al: 0.2021 0.8586 0.4031 [2 per cell]
Al: 0.4357 0.2294 0.8731 [2 per cell]



5.
## MgBeAl3 (PBE)

Data for a relaxed MgBeAl3 crystal.

## Properties
energy above the lowest structure with this stoichiometry	0.0	meV/atom
volume	90.58	Å³ per cell
theoretical density	2.095	g/cm3
ΔE_f	371	meV/atom
density of states at the Fermi level	1.99	states/eV/f.u.

abc: 4.4910 4.4910 4.4910
angles: 90.00 90.00 90.00
Space group Pm-3m (No. 221)
One atom of each set of equivalent atoms:
Mg: 0.0000 0.0000 0.0000 [1 per cell]
Be: 0.5000 0.5000 0.5000 [1 per cell]
Al: 0.0000 0.5000 0.5000 [3 per cell]



6.
## MgBeAl2 (PBE)

Data for a relaxed MgBeAl2 crystal.

## Properties
energy above the lowest structure with this stoichiometry	25.4	meV/atom
volume	130.73	Å³ per cell
theoretical density	2.217	g/cm3
ΔE_f	100	meV/atom
density of states at the Fermi level	0.77	states/eV/f.u.

abc: 4.7444 4.9295 5.9180
angles: 88.09 78.20 74.83
Space group P1 (No. 1)
One atom of each set of equivalent atoms:
Mg: 0.0000 0.0000 0.0000 [1 per cell]
Mg: 0.2498 0.4133 0.7069 [1 per cell]
Be: 0.2880 0.6813 0.2993 [1 per cell]
Be: 0.4037 0.8685 0.5850 [1 per cell]
Al: 0.3959 0.1658 0.2425 [1 per cell]
Al: 0.6126 0.6867 0.9154 [1 per cell]
Al: 0.8170 0.5308 0.3210 [1 per cell]
Al: 0.8736 0.0181 0.5352 [1 per cell]



7.
## MgBeAl (PBE)

Data for a relaxed MgBeAl crystal.

## Properties
energy above the lowest structure with this stoichiometry	131.1	meV/atom
volume	186.14	Å³ per cell
theoretical density	2.152	g/cm3
ΔE_f	200	meV/atom
density of states at the Fermi level	0.68	states/eV/f.u.

abc: 12.1502 2.7771 5.7028
angles: 90.00 104.68 90.00
Space group Cm (No. 8)
One atom of each set of equivalent atoms:
Mg: 0.0000 0.0000 0.0000 [2 per cell]
Mg: 0.0253 0.0000 0.5176 [2 per cell]
Be: 0.1703 0.5000 0.8918 [2 per cell]
Be: 0.1728 0.5000 0.2994 [2 per cell]
Al: 0.2909 0.0000 0.6589 [2 per cell]
Al: 0.3202 0.0000 0.1764 [2 per cell]



8.
## Mg4BeAl (PBE)

Data for a relaxed Mg4BeAl crystal.

## Properties
volume	498.06	Å³ per cell
theoretical density	1.777	g/cm3
ΔE_f	483	meV/atom
density of states at the Fermi level	1.63	states/eV/f.u.

abc: 7.9267 7.9267 7.9267
angles: 90.00 90.00 90.00
Space group F-43m (No. 216)
One atom of each set of equivalent atoms:
Mg: 0.1251 0.1251 0.1251 [16 per cell]
Be: 0.0000 0.0000 0.5000 [4 per cell]
Al: 0.2500 0.2500 0.7500 [4 per cell]